The following is a DFT calculation (PBE) of an optimized crystal structure of Ba3InGa4.

POSCAR file:
```
Ba3InGa4
1.0
-1.434 -3.988 -0.657
-0.259 -0.925 6.180
-8.190 5.399 -0.890
In Ga Ba
1 4 3
Cartesian
-0.717 -1.994 -0.328
-5.565 -0.517 1.291
-6.357 1.991 1.797
-3.527 -1.504 2.836
-4.319 1.003 3.342
-2.741 0.973 0.076
-0.130 -0.462 3.090
-7.143 -0.487 4.557
```

Summary:
Calculated formation energy (eV/atom): -0.386
DFT total energy (eV per cell): -23.70

***

The following is a DFT calculation (PBE) of an optimized crystal structure of Ba3InGa.

POSCAR file:
```
Ba3InGa
1.0
4.548 0.001 0.000
-2.273 9.513 0.244
-0.001 -0.125 10.082
Ba Ga In
6 2 2
Cartesian
-0.076 8.181 6.845
-0.075 1.692 4.013
-0.075 5.299 0.324
2.199 9.234 0.519
2.200 5.627 4.208
2.202 2.620 7.770
2.199 5.930 7.882
-0.073 4.871 6.732
2.198 2.504 1.369
-0.074 8.424 3.164
```

Summary:
Calculated formation energy (eV/atom): -0.286
DFT total energy (eV per cell): -25.93

***

The following is a DFT calculation (PBE) of an optimized crystal structure of BaInGa.

POSCAR file:
```
BaInGa
1.0
4.500 -0.001 -0.003
-0.001 5.081 -0.001
2.242 2.536 8.555
Ga In Ba
2 2 2
Cartesian
3.730 3.534 4.269
1.478 3.542 2.995
1.482 3.528 0.173
3.726 6.074 5.627
3.729 0.994 2.043
5.979 3.532 6.793
```

Summary:
Calculated formation energy (eV/atom): -0.322
DFT total energy (eV per cell): -17.31

***

The following is a DFT calculation (PBE) of an optimized crystal structure of Ba2In7Ga.

POSCAR file:
```
Ba2In7Ga
1.0
5.052 0.000 0.000
0.000 5.052 0.000
0.000 0.000 11.930
In Ba Ga
7 2 1
Cartesian
2.526 2.526 5.965
0.000 2.526 10.466
0.000 0.000 5.965
0.000 2.526 7.588
2.526 0.000 1.464
2.526 0.000 4.342
0.000 0.000 0.000
0.000 2.526 2.883
2.526 0.000 9.047
2.526 2.526 0.000
```

Summary:
Calculated formation energy (eV/atom): -0.350
DFT total energy (eV per cell): -29.54

***

Number 1: magnetic moment 0.00 Bohr magnetons per cell, theoretical density 5.2 g/cm³. Number 2: magnetic moment 0.39 Bohr magnetons per cell, theoretical density 4.5 g/cm³. Number 3: magnetic moment 0.00 Bohr magnetons per cell, theoretical density 5.5 g/cm³. Number 4: magnetic moment 0.00 Bohr magnetons per cell, theoretical density 6.3 g/cm³.